! ThCuPdPt | Alexandria | PBE-GGA | relaxed; values from VASP
! * ΔE_f: -0.63 eV/atom
! * DFT total energy: -25.3 eV/cell
! * crystal system: cubic
&SYSTEM
  ibrav = 0, nat = 4, ntyp = 4
/
ATOMIC_SPECIES
Th 232.04 Th.upf
Cu 63.55 Cu.upf
Pd 106.42 Pd.upf
Pt 195.08 Pt.upf
CELL_PARAMETERS angstrom
-4.206 -1.224 1.959
-0.222 -1.226 4.634
-2.118 2.927 3.157
ATOMIC_POSITIONS angstrom
Th 0.000 0.000 0.000
Cu -3.273 0.238 4.875
Pd -1.636 0.119 2.437
Pt -4.909 0.358 7.312

***

! LiZr2Tl | Alexandria | PBE-GGA | relaxed; values from VASP
! * ΔE_f: 0.06 eV/atom
! * DFT total energy: -21.1 eV/cell
! * crystal system: orthorhombic
&SYSTEM
  ibrav = 0, nat = 4, ntyp = 3
/
ATOMIC_SPECIES
Zr 91.22 Zr.upf
Tl 204.38 Tl.upf
Li 6.94 Li.upf
CELL_PARAMETERS angstrom
5.316 0.010 0.000
-2.192 4.843 0.000
0.000 0.000 3.300
ATOMIC_POSITIONS angstrom
Zr 0.000 0.000 0.000
Zr 1.562 2.427 0.000
Tl -1.096 2.421 1.650
Li 2.658 0.005 1.650

***

! ErZrPa2N4 | Alexandria | PBE-GGA | relaxed; values from VASP
! * DFT total energy: -78.8 eV/cell
! * crystal system: monoclinic
! * E_form (uncorrected): -38.50 kcal/mol of atoms
&SYSTEM
  ibrav = 0, nat = 8, ntyp = 4
/
ATOMIC_SPECIES
Pa 231.04 Pa.upf
N 14.01 N.upf
Zr 91.22 Zr.upf
Er 167.26 Er.upf
CELL_PARAMETERS angstrom
3.417 0.000 0.000
0.000 5.902 0.099
0.000 -2.065 5.584
ATOMIC_POSITIONS angstrom
Pa 0.000 1.918 2.842
Pa 1.709 -1.033 2.792
N 1.709 0.931 1.370
N 0.000 -0.110 4.243
N 0.000 3.947 1.440
N 1.709 2.905 4.313
Zr 0.000 0.000 0.000
Er 1.709 2.951 0.049

***

! Er5AgS4 | Alexandria | PBE-GGA | relaxed; values from VASP
! * DFT total energy: -58.0 eV/cell
! * crystal system: monoclinic
! * E_form (uncorrected): -36.41 kcal/mol of atoms
&SYSTEM
  ibrav = 0, nat = 10, ntyp = 3
/
ATOMIC_SPECIES
Er 167.26 Er.upf
S 32.06 S.upf
Ag 107.87 Ag.upf
CELL_PARAMETERS angstrom
3.762 0.000 0.859
1.589 6.458 1.709
-0.031 -0.042 8.798
ATOMIC_POSITIONS angstrom
Er 1.961 2.049 8.741
Er 0.779 3.208 5.254
Er 2.176 5.797 7.802
Er 3.144 0.619 3.564
Er 3.358 4.367 2.626
S 2.758 5.119 5.253
S 1.373 2.511 2.655
S 2.561 1.297 6.114
S 3.947 3.906 8.712
Ag 0.000 0.000 0.000

***

! NbPW3 | Alexandria | PBE-GGA | relaxed; values from VASP
! * ΔE_f: 0.72 eV/atom
! * excess energy over the best structure of this formula in the dataset: 0.0 meV/atom
! * DFT total energy: -50.8 eV/cell
! * crystal system: cubic
&SYSTEM
  ibrav = 0, nat = 5, ntyp = 3
/
ATOMIC_SPECIES
W 183.84 W.upf
P 30.97 P.upf
Nb 92.91 Nb.upf
CELL_PARAMETERS angstrom
-3.329 1.661 2.447
-2.897 -2.573 -2.195
0.595 -3.233 3.004
ATOMIC_POSITIONS angstrom
W -1.665 0.830 1.224
W 0.298 -1.617 1.502
W -1.448 -1.286 -1.098
P 0.000 0.000 0.000
Nb -2.816 -2.073 1.628

***

! CsSrLa2Ir | Alexandria | PBE-GGA | relaxed; values from VASP
! * ΔE_f: -0.13 eV/atom
! * DFT total energy: -21.9 eV/cell
! * crystal system: tetragonal
&SYSTEM
  ibrav = 0, nat = 5, ntyp = 4
/
ATOMIC_SPECIES
La 138.91 La.upf
Ir 192.22 Ir.upf
Sr 87.62 Sr.upf
Cs 132.91 Cs.upf
CELL_PARAMETERS angstrom
5.725 0.000 0.000
0.000 5.725 0.000
0.000 0.000 6.400
ATOMIC_POSITIONS angstrom
La 0.000 2.862 0.000
La 2.862 0.000 0.000
Ir 0.000 0.000 0.000
Sr 0.000 0.000 3.200
Cs 2.862 2.862 3.200

***

! Pr2YHo3Bi6 | Alexandria | PBE-GGA | relaxed; values from VASP
! * ΔE_f: -0.88 eV/atom
! * DFT total energy: -63.6 eV/cell
! * crystal system: monoclinic
&SYSTEM
  ibrav = 0, nat = 12, ntyp = 4
/
ATOMIC_SPECIES
Bi 208.98 Bi.upf
Pr 140.91 Pr.upf
Ho 164.93 Ho.upf
Y 88.91 Y.upf
CELL_PARAMETERS angstrom
4.529 0.000 0.000
0.000 9.045 0.330
-2.265 -2.598 9.513
ATOMIC_POSITIONS angstrom
Bi 0.000 6.772 0.316
Bi 2.265 -0.324 9.527
Bi 0.000 1.967 6.524
Bi 2.265 4.480 3.319
Bi 0.000 6.638 6.653
Bi 2.265 -0.190 3.190
Pr 2.265 4.305 6.580
Pr 0.000 2.143 3.263
Ho 2.265 4.523 0.165
Ho 2.265 -0.220 6.370
Ho 0.000 6.668 3.473
Y 2.265 0.000 0.000

***

! La7TcBr12 | Alexandria | PBE-GGA | relaxed; values from VASP
! * DFT total energy: -98.1 eV/cell
! * crystal system: trigonal
! * E_form (uncorrected): -38.20 kcal/mol of atoms
&SYSTEM
  ibrav = 0, nat = 20, ntyp = 3
/
ATOMIC_SPECIES
La 138.91 La.upf
Tc 98.00 Tc.upf
Br 79.90 Br.upf
CELL_PARAMETERS angstrom
-4.319 -8.654 -1.120
6.640 0.807 -7.076
4.851 -0.308 8.436
ATOMIC_POSITIONS angstrom
La 2.505 0.018 -1.316
La 3.586 -4.077 0.120
La 4.667 -8.173 1.557
La 1.198 -1.022 2.351
La 5.973 -7.132 -2.110
La 7.684 -5.531 1.168
La -0.513 -2.624 -0.927
Tc 0.000 0.000 0.000
Br -1.149 -5.753 -1.658
Br 1.919 -7.989 3.330
Br 2.876 -2.018 4.982
Br 8.320 -2.402 1.899
Br 3.099 -6.880 -0.819
Br 0.933 -4.022 1.511
Br 4.296 -6.137 -4.741
Br 5.252 -0.166 -3.090
Br 4.072 -1.275 1.060
Br 4.909 -5.188 2.567
Br 6.238 -4.133 -1.270
Br 2.262 -2.967 -2.327

***

> DFT total energy of number 1 (ThCuPdPt)?

-25.3 eV/cell

***

> Among the records above, which one has the lowest DFT total energy?

La7TcBr12

***

> DFT total energy of number 1 (ThCuPdPt)?

-25.3 eV/cell